Entry 1:
Below is crystalline Sc2TiBiO at its relaxed geometry, with properties calculated at the PBE level.

Lattice parameters (Å, degrees): 4.651 4.651 4.076 90.00 90.00 90.00
Sites, in units of the cell vectors:
Sc (0.000, 0.500, 0.000)
Sc (0.500, 0.000, 0.000)
Ti (0.000, 0.000, 0.500)
Bi (0.500, 0.500, 0.500)
O (0.000, 0.000, 0.000)

## Properties
Calculated volume in Å³ per cell: 88
Total energy in eV/f.u.: -35.5
Formation energy from raw total energies in kJ/mol of formula units: -584
Size of the total moment in μB/f.u.: 0.765
Symmetry: P4/mmm

Entry 2:
Below is crystalline HfTaS2N at its relaxed geometry, with properties calculated at the PBE level.

Lattice parameters (Å, degrees): 4.936 4.936 3.923 90.00 90.00 90.00
Sites, in units of the cell vectors:
Hf (0.000, 0.000, 0.000)
Ta (0.500, 0.500, 0.500)
S (0.000, 0.500, 0.000)
S (0.500, 0.000, 0.000)
N (0.000, 0.000, 0.500)

## Properties
Calculated volume in Å³ per cell: 96
Total energy in eV/f.u.: -37.1
Formation energy from raw total energies in kJ/mol of formula units: 122
Size of the total moment in μB/f.u.: 1.997
Symmetry: P4/mmm
Polymorph energy (0 for the lowest one) in meV per atom: 480.4

Entry 3:
Below is crystalline KBaH2 at its relaxed geometry, with properties calculated at the PBE level.

Lattice parameters (Å, degrees): 3.621 3.621 8.192 90.00 90.00 90.00
Sites, in units of the cell vectors:
K (0.000, 0.000, 0.000)
Ba (0.000, 0.000, 0.500)
H (0.500, 0.500, 0.352)
H (0.500, 0.500, 0.648)

## Properties
Calculated volume in Å³ per cell: 107
Total energy in eV/f.u.: -9.9
Size of the total moment in μB/f.u.: 0.000
Symmetry: P4/mmm
Polymorph energy (0 for the lowest one) in meV per atom: 155.5

Entry 4:
Below is crystalline Sm2Tm2Sb3 at its relaxed geometry, with properties calculated at the PBE level.

Lattice parameters (Å, degrees): 7.386 7.386 7.370 99.32 99.32 34.77
Sites, in units of the cell vectors:
Sm (0.123, 0.123, 0.358)
Sm (0.877, 0.877, 0.642)
Tm (0.380, 0.380, 0.119)
Tm (0.620, 0.620, 0.881)
Sb (0.241, 0.241, 0.757)
Sb (0.500, 0.500, 0.500)
Sb (0.759, 0.759, 0.243)

## Properties
Calculated volume in Å³ per cell: 226
Total energy in eV/f.u.: -36.6
Formation energy from raw total energies in kJ/mol of formula units: -565
Size of the total moment in μB/f.u.: 0.000
Symmetry: C2/m

Entry 5:
Below is crystalline Ti3CoNi at its relaxed geometry, with properties calculated at the PBE level.

Lattice parameters (Å, degrees): 4.468 4.468 4.468 90.00 90.00 90.00
Sites, in units of the cell vectors:
Ti (0.000, 0.000, 0.500)
Ti (0.000, 0.500, 0.000)
Ti (0.500, 0.000, 0.000)
Co (0.500, 0.500, 0.500)
Ni (0.000, 0.000, 0.000)

## Properties
Calculated volume in Å³ per cell: 89
Total energy in eV/f.u.: -33.5
Size of the total moment in μB/f.u.: 0.314
Symmetry: Pm-3m
Polymorph energy (0 for the lowest one) in meV per atom: 708.0
Energy of formation in eV per atom: 0.619

Entry 6:
Below is crystalline Re2PtAu at its relaxed geometry, with properties calculated at the PBE level.

Lattice parameters (Å, degrees): 3.311 3.311 5.838 90.00 90.00 90.00
Sites, in units of the cell vectors:
Re (0.000, 0.000, 0.000)
Re (0.500, 0.500, 0.210)
Pt (0.500, 0.500, 0.740)
Au (0.000, 0.000, 0.485)

## Properties
Calculated volume in Å³ per cell: 64
Total energy in eV/f.u.: -32.9
Size of the total moment in μB/f.u.: 0.000
Symmetry: P4mm
Polymorph energy (0 for the lowest one) in meV per atom: 247.1
Energy of formation in eV per atom: 0.319

The following density of states at the Fermi level values (in states/eV per atom) correspond, in order, to the records above: 1.11; 0.81; 0.44; 0.47; 1.96; 0.96.